Entry 1:
Compound: SiSbRu2
Source: the Alexandria database
Functional: PBE-GGA
Structure: relaxed

abc: 4.609 4.609 4.609
angles: 130.64 120.31 81.03
Positions (direct):
Sb 0.750 0.250 0.500
Ru 0.034 0.034 0.000
Si 0.250 0.750 0.500
Ru 0.466 0.466 0.000

Output
E above lowest polymorph, eV per formula unit: 0.42
E_form (uncorrected), eV per atom: -0.09
D(E_F), states/eV/atom: 0.693
Total magnetic moment, μB per atom: 0.0000
Volume, Å³/atom: 15.5



Entry 2:
Compound: CsHAuSe
Source: the Alexandria database
Functional: PBE-GGA
Structure: relaxed

abc: 5.416 6.986 4.843
angles: 113.08 123.78 98.92
Positions (direct):
Se 0.432 0.140 0.779
Au 0.888 0.141 0.688
Cs 0.660 0.641 0.733
H 0.632 0.141 0.178

Output
Total DFT energy (no corrections), Ry/atom: -0.225
D(E_F), states/eV/atom: 0.226
Total magnetic moment, μB per atom: 0.0000
Volume, Å³/atom: 30.6



Entry 3:
Compound: La2CN
Source: the Alexandria database
Functional: PBE-GGA
Structure: relaxed

abc: 4.568 4.568 4.568
angles: 60.00 60.00 60.00
Each line ends with the local moment (μB).
Positions (direct):
La 0.750 0.750 0.750  0.02
C 0.000 0.000 0.000  0.33
N 0.500 0.500 0.500  0.24
La 0.250 0.250 0.250  0.02

Output
E above lowest polymorph, eV per formula unit: 1.59
E_form (uncorrected), eV per atom: 0.06
D(E_F), states/eV/atom: 0.542
Total magnetic moment, μB per atom: 0.2515
Volume, Å³/atom: 16.8



Entry 4:
Compound: Ac2Mg3TlIn4
Source: the Alexandria database
Functional: PBE-GGA
Structure: relaxed

abc: 4.757 4.757 12.454
angles: 90.00 90.00 90.00
Positions (direct):
In 0.000 0.000 0.000
Mg 0.000 0.000 0.500
Ac 0.500 0.000 0.244
Mg 0.000 0.500 0.132
In 0.500 0.500 0.000
In 0.500 0.000 0.647
Tl 0.500 0.500 0.500
Ac 0.000 0.500 0.756
Mg 0.500 0.000 0.868
In 0.000 0.500 0.353

Output
DFT formation energy, meV/atom: -290
D(E_F), states/eV/atom: 0.344
Total magnetic moment, μB per atom: 0.0000
Volume, Å³/atom: 28.2



Entry 5:
Compound: NdGaBi
Source: the Alexandria database
Functional: PBE-GGA
Structure: relaxed

abc: 6.743 6.743 13.682
angles: 90.00 90.00 120.00
Positions (direct):
Ga 0.603 0.205 0.167
Ga 0.205 0.603 0.833
Bi 0.000 0.000 0.167
Ga 0.795 0.397 0.833
Nd 0.500 0.500 0.716
Nd 0.500 0.500 0.284
Nd 0.000 0.500 0.617
Bi 0.500 0.500 0.000
Nd 0.500 0.000 0.950
Ga 0.603 0.397 0.500
Bi 0.500 0.000 0.667
Bi 0.000 0.000 0.500
Bi 0.000 0.500 0.333
Bi 0.000 0.000 0.833
Nd 0.000 0.500 0.050
Ga 0.397 0.795 0.167
Ga 0.397 0.603 0.500
Nd 0.500 0.000 0.383

Output
E above lowest polymorph, eV per formula unit: 0.59
DFT formation energy, meV/atom: -248
D(E_F), states/eV/atom: 0.777
Total magnetic moment, μB per atom: 0.0000
Volume, Å³/atom: 29.9



Entry 6:
Compound: SrPaIrN3
Source: the Alexandria database
Functional: PBE-GGA
Structure: relaxed

abc: 3.469 7.466 7.950
angles: 99.51 90.00 90.00
Positions (direct):
N 0.250 0.152 0.860
Sr 0.750 0.834 0.801
Pa 0.250 0.648 0.165
Ir 0.750 0.887 0.416
N 0.750 0.187 0.469
Ir 0.250 0.113 0.584
Pa 0.750 0.352 0.835
N 0.250 0.813 0.531
Sr 0.250 0.166 0.199
N 0.750 0.439 0.123
N 0.250 0.561 0.877
N 0.750 0.848 0.140

Output
E_form (uncorrected), eV per atom: -0.71
D(E_F), states/eV/atom: 0.208
Total magnetic moment, μB per atom: 0.0000
Volume, Å³/atom: 16.9



Entry 7:
Compound: ErNpCuS4
Source: the Alexandria database
Functional: PBE-GGA
Structure: relaxed

abc: 7.645 7.692 7.692
angles: 60.69 60.20 60.20
Each line ends with the local moment (μB).
Positions (direct):
S 0.247 0.251 0.255  -0.06
Er 0.500 0.000 0.500  0.02
Np 0.000 0.000 0.000  3.27
S 0.247 0.749 0.249  -0.09
S 0.753 0.749 0.745  -0.06
S 0.754 0.749 0.249  -0.09
Cu 0.629 0.621 0.121  -0.08
Er 0.000 0.000 0.500  0.02
S 0.246 0.251 0.751  -0.09
S 0.753 0.251 0.751  -0.09
Np 0.000 0.500 0.500  3.27
S 0.753 0.245 0.249  -0.06
Cu 0.371 0.379 0.879  -0.08
S 0.247 0.755 0.751  -0.06

Output
E_form (uncorrected), eV per atom: -1.29
D(E_F), states/eV/atom: 1.289
Total magnetic moment, μB per atom: 0.4286
Volume, Å³/atom: 23.0



Entry 8:
Compound: Y2AlB2Ru5
Source: the Alexandria database
Functional: PBE-GGA
Structure: relaxed

abc: 3.117 9.597 9.597
angles: 90.00 90.00 90.00
Positions (direct):
Ru 0.500 0.718 0.432
Ru 0.500 0.500 0.000
B 0.000 0.376 0.124
Al 0.000 0.000 0.000
B 0.000 0.124 0.624
Ru 0.500 0.000 0.500
Ru 0.500 0.068 0.782
Ru 0.500 0.782 0.932
Ru 0.500 0.282 0.568
Y 0.000 0.677 0.177
Al 0.000 0.500 0.500
Y 0.000 0.177 0.323
Y 0.000 0.823 0.677
B 0.000 0.876 0.376
Ru 0.500 0.432 0.282
Ru 0.500 0.932 0.218
Ru 0.500 0.568 0.718
B 0.000 0.624 0.876
Y 0.000 0.323 0.823
Ru 0.500 0.218 0.068

Output
DFT formation energy, meV/atom: -479
D(E_F), states/eV/atom: 1.047
Total magnetic moment, μB per atom: 0.0000
Volume, Å³/atom: 14.4



Entry 9:
Compound: YSbPtSe2
Source: the Alexandria database
Functional: PBE-GGA
Structure: relaxed

abc: 5.259 5.997 5.259
angles: 90.00 90.00 90.00
Each line ends with the local moment (μB).
Positions (direct):
Pt 0.500 0.500 0.500  0.17
Se 0.000 0.000 0.500  0.01
Se 0.500 0.000 0.000  -0.01
Y 0.000 0.000 0.000  0.00
Sb 0.000 0.500 0.000  -0.02

Output
E_form (uncorrected), eV per atom: 0.49
D(E_F), states/eV/atom: 1.078
Total magnetic moment, μB per atom: 0.0317
Volume, Å³/atom: 33.2



Entry 10:
Compound: LaZn2Co
Source: the Alexandria database
Functional: PBE-GGA
Structure: relaxed

abc: 4.307 4.307 5.531
angles: 66.89 66.89 59.84
Positions (direct):
Zn 0.766 0.766 0.702
Zn 0.049 0.049 0.853
Co 0.436 0.436 0.694
La 0.248 0.248 0.251

Output
DFT formation energy, meV/atom: -190
D(E_F), states/eV/atom: 0.869
Total magnetic moment, μB per atom: 0.0003
Volume, Å³/atom: 19.8



Entry 11:
Compound: KReSN2
Source: the Alexandria database
Functional: PBE-GGA
Structure: relaxed

abc: 4.614 4.614 5.856
angles: 90.00 90.00 90.00
Each line ends with the local moment (μB).
Positions (direct):
S 0.000 0.000 0.500  0.12
K 0.000 0.000 0.000  0.14
N 0.500 0.000 0.000  1.61
N 0.000 0.500 0.000  1.61
Re 0.500 0.500 0.500  -4.09

Output
E above lowest polymorph, eV per formula unit: 14.96
E_form (uncorrected), eV per atom: 3.09
D(E_F), states/eV/atom: 0.350
Total magnetic moment, μB per atom: 0.0003
Volume, Å³/atom: 24.9